1.
! PBE-GGA La2NiP, optimized geometry; values from VASP
&SYSTEM
  ibrav = 0, nat = 16, ntyp = 3
/
ATOMIC_SPECIES
La 138.91 La.upf
Ni 58.69 Ni.upf
P 30.97 P.upf
CELL_PARAMETERS angstrom
4.139 0.000 0.000
0.000 23.962 0.000
0.000 0.000 4.227
ATOMIC_POSITIONS crystal
La 0.000 0.065 0.250
La 0.000 0.311 0.250
La 0.000 0.689 0.750
La 0.000 0.935 0.750
La 0.500 0.189 0.750
La 0.500 0.435 0.750
La 0.500 0.565 0.250
La 0.500 0.811 0.250
Ni 0.000 0.475 0.250
Ni 0.000 0.525 0.750
Ni 0.500 0.025 0.750
Ni 0.500 0.975 0.250
P 0.000 0.187 0.250
P 0.000 0.813 0.750
P 0.500 0.313 0.750
P 0.500 0.687 0.250
! - M_tot: 0.0 μB/f.u.
! - Formation enthalpy at 0 K: -0.9254 eV/atom
! - DOS(E_F): 10.2 states/eV/cell

***

2.
! PBE-GGA LaNi2P2, optimized geometry; values from VASP
&SYSTEM
  ibrav = 0, nat = 10, ntyp = 3
/
ATOMIC_SPECIES
La 138.91 La.upf
Ni 58.69 Ni.upf
P 30.97 P.upf
CELL_PARAMETERS angstrom
7.434 0.000 0.000
0.000 7.434 0.000
0.000 0.000 2.945
ATOMIC_POSITIONS crystal
La 0.000 0.000 0.000
La 0.500 0.500 0.000
Ni 0.120 0.380 0.500
Ni 0.380 0.880 0.500
Ni 0.620 0.120 0.500
Ni 0.880 0.620 0.500
P 0.128 0.628 0.000
P 0.372 0.128 0.000
P 0.628 0.872 0.000
P 0.872 0.372 0.000
! - M_tot: 0.0 μB/f.u.
! - Formation enthalpy at 0 K: -0.3463 eV/atom
! - DOS(E_F): 7.0 states/eV/cell

***

3.
! PBE-GGA LaNiP2, optimized geometry; values from VASP
&SYSTEM
  ibrav = 0, nat = 12, ntyp = 3
/
ATOMIC_SPECIES
La 138.91 La.upf
Ni 58.69 Ni.upf
P 30.97 P.upf
CELL_PARAMETERS angstrom
4.025 0.000 0.000
-2.012 3.486 0.000
0.000 0.000 15.215
ATOMIC_POSITIONS crystal
La 0.000 0.000 0.000
La 0.333 0.667 0.667
La 0.667 0.333 0.333
Ni 0.000 0.000 0.500
Ni 0.333 0.667 0.167
Ni 0.667 0.333 0.833
P 0.000 0.000 0.208
P 0.000 0.000 0.792
P 0.333 0.667 0.459
P 0.333 0.667 0.875
P 0.667 0.333 0.125
P 0.667 0.333 0.541
! - M_tot: 0.0 μB/f.u.
! - Formation enthalpy at 0 K: -0.7933 eV/atom
! - DOS(E_F): 6.8 states/eV/cell

***

4.
! PBE-GGA LaNi2P2, optimized geometry; values from VASP
&SYSTEM
  ibrav = 0, nat = 10, ntyp = 3
/
ATOMIC_SPECIES
La 138.91 La.upf
Ni 58.69 Ni.upf
P 30.97 P.upf
CELL_PARAMETERS angstrom
4.012 0.000 0.000
0.000 4.012 0.000
0.000 0.000 9.628
ATOMIC_POSITIONS crystal
La 0.000 0.000 0.000
La 0.500 0.500 0.500
Ni 0.000 0.500 0.250
Ni 0.000 0.500 0.750
Ni 0.500 0.000 0.250
Ni 0.500 0.000 0.750
P 0.000 0.000 0.369
P 0.000 0.000 0.631
P 0.500 0.500 0.131
P 0.500 0.500 0.869
! - M_tot: 0.0 μB/f.u.
! - Formation enthalpy at 0 K: -0.9952 eV/atom
! - DOS(E_F): 4.2 states/eV/cell

***

5.
! PBE-GGA LaNi2P, optimized geometry; values from VASP
&SYSTEM
  ibrav = 0, nat = 4, ntyp = 3
/
ATOMIC_SPECIES
La 138.91 La.upf
Ni 58.69 Ni.upf
P 30.97 P.upf
CELL_PARAMETERS angstrom
3.888 0.000 0.000
0.000 3.889 0.000
-0.019 0.000 4.783
ATOMIC_POSITIONS crystal
La 0.000 0.000 0.000
Ni 0.003 0.500 0.525
Ni 0.502 0.000 0.525
P 0.502 0.500 0.316
! - M_tot: 0.0 μB/f.u.
! - Formation enthalpy at 0 K: -0.6479 eV/atom
! - DOS(E_F): 3.2 states/eV/cell

***

6.
! PBE-GGA LaNiP2, optimized geometry; values from VASP
&SYSTEM
  ibrav = 0, nat = 8, ntyp = 3
/
ATOMIC_SPECIES
La 138.91 La.upf
Ni 58.69 Ni.upf
P 30.97 P.upf
CELL_PARAMETERS angstrom
3.887 0.000 0.000
0.000 6.405 0.000
0.000 0.000 6.482
ATOMIC_POSITIONS crystal
La 0.000 0.000 0.000
La 0.500 0.500 0.000
Ni 0.000 0.000 0.500
Ni 0.500 0.500 0.500
P 0.000 0.500 0.322
P 0.000 0.500 0.678
P 0.500 0.000 0.322
P 0.500 0.000 0.678
! - M_tot: 0.0 μB/f.u.
! - Formation enthalpy at 0 K: -0.5729 eV/atom
! - DOS(E_F): 5.7 states/eV/cell

***

7.
! PBE-GGA LaNiP2, optimized geometry; values from VASP
&SYSTEM
  ibrav = 0, nat = 4, ntyp = 3
/
ATOMIC_SPECIES
La 138.91 La.upf
Ni 58.69 Ni.upf
P 30.97 P.upf
CELL_PARAMETERS angstrom
4.411 0.000 0.000
0.000 4.411 0.000
0.000 0.000 4.226
ATOMIC_POSITIONS crystal
La 0.000 0.000 0.000
Ni 0.500 0.500 0.500
P 0.000 0.500 0.500
P 0.500 0.000 0.500
! - M_tot: 0.0 μB/f.u.
! - Formation enthalpy at 0 K: -0.7192 eV/atom
! - DOS(E_F): 3.0 states/eV/cell

***

8.
! PBE-GGA La2NiP, optimized geometry; values from VASP
&SYSTEM
  ibrav = 0, nat = 4, ntyp = 3
/
ATOMIC_SPECIES
La 138.91 La.upf
Ni 58.69 Ni.upf
P 30.97 P.upf
CELL_PARAMETERS angstrom
4.225 0.000 0.000
0.000 4.225 0.000
0.000 0.000 5.950
ATOMIC_POSITIONS crystal
La 0.000 0.000 0.000
La 0.500 0.500 0.500
Ni 0.000 0.000 0.500
P 0.500 0.500 0.000
! - M_tot: 0.0 μB/f.u.
! - Formation enthalpy at 0 K: -0.7835 eV/atom
! - DOS(E_F): 3.4 states/eV/cell

***

9.
! PBE-GGA LaNiP2, optimized geometry; values from VASP
&SYSTEM
  ibrav = 0, nat = 8, ntyp = 3
/
ATOMIC_SPECIES
La 138.91 La.upf
Ni 58.69 Ni.upf
P 30.97 P.upf
CELL_PARAMETERS angstrom
4.080 0.000 0.000
0.000 4.080 0.000
0.000 0.000 8.947
ATOMIC_POSITIONS crystal
La 0.000 0.000 0.000
La 0.500 0.500 0.500
Ni 0.000 0.500 0.750
Ni 0.500 0.000 0.250
P 0.000 0.000 0.500
P 0.000 0.500 0.250
P 0.500 0.000 0.750
P 0.500 0.500 0.000
! - M_tot: 0.0 μB/f.u.
! - Formation enthalpy at 0 K: -0.2461 eV/atom
! - DOS(E_F): 9.1 states/eV/cell

***

10.
! PBE-GGA LaNi2P, optimized geometry; values from VASP
&SYSTEM
  ibrav = 0, nat = 16, ntyp = 3
/
ATOMIC_SPECIES
La 138.91 La.upf
Ni 58.69 Ni.upf
P 30.97 P.upf
CELL_PARAMETERS angstrom
6.494 0.000 0.000
0.000 6.494 0.000
0.000 0.000 6.494
ATOMIC_POSITIONS crystal
La 0.000 0.000 0.000
La 0.000 0.500 0.500
La 0.500 0.000 0.500
La 0.500 0.500 0.000
Ni 0.000 0.000 0.500
Ni 0.000 0.500 0.000
Ni 0.250 0.250 0.750
Ni 0.250 0.750 0.250
Ni 0.500 0.000 0.000
Ni 0.500 0.500 0.500
Ni 0.750 0.250 0.250
Ni 0.750 0.750 0.750
P 0.250 0.250 0.250
P 0.250 0.750 0.750
P 0.750 0.250 0.750
P 0.750 0.750 0.250
! - M_tot: 0.0 μB/f.u.
! - Formation enthalpy at 0 K: -0.1281 eV/atom
! - DOS(E_F): 12.5 states/eV/cell

***

11.
! PBE-GGA LaNiP2, optimized geometry; values from VASP
&SYSTEM
  ibrav = 0, nat = 16, ntyp = 3
/
ATOMIC_SPECIES
La 138.91 La.upf
Ni 58.69 Ni.upf
P 30.97 P.upf
CELL_PARAMETERS angstrom
6.652 0.000 0.000
0.000 6.652 0.000
0.000 0.000 6.652
ATOMIC_POSITIONS crystal
La 0.000 0.000 0.000
La 0.000 0.500 0.500
La 0.500 0.000 0.500
La 0.500 0.500 0.000
Ni 0.000 0.000 0.500
Ni 0.000 0.500 0.000
Ni 0.500 0.000 0.000
Ni 0.500 0.500 0.500
P 0.250 0.250 0.250
P 0.250 0.250 0.750
P 0.250 0.750 0.250
P 0.250 0.750 0.750
P 0.750 0.250 0.250
P 0.750 0.250 0.750
P 0.750 0.750 0.250
P 0.750 0.750 0.750
! - M_tot: 0.0 μB/f.u.
! - Formation enthalpy at 0 K: -0.2759 eV/atom
! - DOS(E_F): 25.1 states/eV/cell

***

12.
! PBE-GGA LaNi2P, optimized geometry; values from VASP
&SYSTEM
  ibrav = 0, nat = 16, ntyp = 3
/
ATOMIC_SPECIES
La 138.91 La.upf
Ni 58.69 Ni.upf
P 30.97 P.upf
CELL_PARAMETERS angstrom
4.596 0.000 0.000
0.000 4.596 0.000
0.000 0.000 14.792
ATOMIC_POSITIONS crystal
La 0.000 0.000 0.000
La 0.000 0.500 0.250
La 0.500 0.000 0.750
La 0.500 0.500 0.500
Ni 0.004 0.250 0.625
Ni 0.250 0.504 0.875
Ni 0.250 0.996 0.375
Ni 0.496 0.250 0.125
Ni 0.504 0.750 0.125
Ni 0.750 0.004 0.375
Ni 0.750 0.496 0.875
Ni 0.996 0.750 0.625
P 0.000 0.000 0.500
P 0.000 0.500 0.750
P 0.500 0.000 0.250
P 0.500 0.500 0.000
! - M_tot: 0.0 μB/f.u.
! - Formation enthalpy at 0 K: -0.7048 eV/atom
! - DOS(E_F): 12.5 states/eV/cell